(1)
Crystalline ScHPd3 at its relaxed geometry, computed with GGA-PBE.

```
data_ScHPd3
_chemical_formula_sum 'Sc2 H2 Pd6'
_cell_length_a 2.9028
_cell_length_b 5.4499
_cell_length_c 12.4589
_cell_angle_alpha 90.00
_cell_angle_beta 90.00
_cell_angle_gamma 90.00
_symmetry_space_group_name_H-M 'A m m 2'
_symmetry_Int_Tables_number 38
loop_
_symmetry_equiv_pos_as_xyz
'x,y,z'
'-x,-y,z'
'-x,y,z'
'x,-y,z'
'x,y+1/2,z+1/2'
'-x,-y+1/2,z+1/2'
'-x,y+1/2,z+1/2'
'x,-y+1/2,z+1/2'
loop_
_atom_site_label
_atom_site_type_symbol
_atom_site_fract_x
_atom_site_fract_y
_atom_site_fract_z
Sc1 Sc 0.0000 0.0000 0.0000
H1 H 0.5000 0.0000 0.6485
Pd1 Pd 0.0000 0.2488 0.6679
Pd2 Pd 0.5000 0.0000 0.8315
```

***

(2)
Crystalline Sc3AlF at its relaxed geometry, computed with GGA-PBE.

```
data_Sc3AlF
_chemical_formula_sum 'Sc3 Al1 F1'
_cell_length_a 4.4729
_cell_length_b 4.4729
_cell_length_c 4.4729
_cell_angle_alpha 90.00
_cell_angle_beta 90.00
_cell_angle_gamma 90.00
_symmetry_space_group_name_H-M 'P m -3 m'
_symmetry_Int_Tables_number 221
_symmetry_space_group_name_Hall '-P 4 2 3'
loop_
_atom_site_label
_atom_site_type_symbol
_atom_site_fract_x
_atom_site_fract_y
_atom_site_fract_z
Sc1 Sc 0.0000 0.0000 0.5000
Al1 Al 0.5000 0.5000 0.5000
F1 F 0.0000 0.0000 0.0000
```

***

(3)
Crystalline Na2PrPaTe4 at its relaxed geometry, computed with GGA-PBE.

```
data_Na2PrPaTe4
_chemical_formula_sum 'Na2 Pr1 Pa1 Te4'
_cell_length_a 7.7550
_cell_length_b 4.4390
_cell_length_c 8.0880
_cell_angle_alpha 90.00
_cell_angle_beta 108.33
_cell_angle_gamma 90.00
_symmetry_space_group_name_H-M 'P 1 2/m 1'
_symmetry_Int_Tables_number 10
loop_
_symmetry_equiv_pos_as_xyz
'x,y,z'
'-x,-y,-z'
'-x,y,-z'
'x,-y,z'
loop_
_atom_site_label
_atom_site_type_symbol
_atom_site_fract_x
_atom_site_fract_y
_atom_site_fract_z
Na1 Na 0.0000 0.0000 0.0000
Na2 Na 0.5000 0.5000 0.0000
Pr1 Pr 0.0000 0.5000 0.5000
Pa1 Pa 0.5000 0.0000 0.5000
Te1 Te 0.2558 0.0000 0.7423
Te2 Te 0.2602 0.5000 0.2605
```

***

(4)
# BaNpRh4, optimized geometry, DFT GGA-PBE
data_BaNpRh4
_chemical_formula_sum 'Ba4 Np4 Rh16'
_cell_length_a 7.7023
_cell_length_b 7.7023
_cell_length_c 7.7023
_cell_angle_alpha 90.00
_cell_angle_beta 90.00
_cell_angle_gamma 90.00
_symmetry_space_group_name_H-M 'F -4 3 m'
_symmetry_Int_Tables_number 216
_symmetry_space_group_name_Hall 'F -4 2 3'
loop_
_atom_site_label
_atom_site_type_symbol
_atom_site_fract_x
_atom_site_fract_y
_atom_site_fract_z
Ba1 Ba 0.0000 0.0000 0.0000
Np1 Np 0.2500 0.2500 0.7500
Rh1 Rh 0.1241 0.1241 0.3759
# **ΔE_f**: -0.126 eV per atom

***

Calculated values (Bohr magnetons per cell) of spin magnetization for the records, taken in order: 0.0 0.0 1.9 12.2.
Calculated values (eV/atom) of VASP energy for the records, taken in order: -5.0131 -5.9385 -4.7611 -7.5045.